(1)
This record from Alexandria via LeMat-Bulk describes crystalline Al2SiBAs at its relaxed geometry. The functional is PBE-GGA.

Energy, eV/cell: -21.9
Offset from the most stable computed form, meV per atom: 0.0
E_form (uncorrected), eV/atom: 0.47

Cell: 4.0952 4.0952 4.7158 Å, 90.00 90.00 90.00°
With the nearest neighbours (Å) after each atom.
Fractional coordinates of all 5 atoms:
Al 0.0000 0.5000 0.0000  2 B 2.05
Al 0.5000 0.0000 0.0000  2 B 2.05
Si 0.0000 0.0000 0.5000  4 As 2.90, 8 Al 3.12
B 0.5000 0.5000 0.0000  4 Al 2.05
As 0.5000 0.5000 0.5000  2 B 2.36

(2)
This record from Alexandria via LeMat-Bulk describes crystalline KBaCdAu at its relaxed geometry. The functional is PBE-GGA.

Energy, eV/cell: -33.2
Energy relative to the elements, eV/atom: -0.274

Cell: 8.2174 8.2174 8.2174 Å, 90.00 90.00 90.00°
With the nearest neighbours (Å) after each atom.
Fractional coordinates of all 16 atoms:
K 0.0000 0.0000 0.0000  4 Cd 3.56, 4 Au 3.56
K 0.0000 0.5000 0.5000  4 Cd 3.56, 4 Au 3.56
K 0.5000 0.0000 0.5000  4 Cd 3.56, 4 Au 3.56
K 0.5000 0.5000 0.0000  4 Cd 3.56, 4 Au 3.56
Ba 0.0000 0.0000 0.5000  4 Cd 3.56, 4 Au 3.56
Ba 0.0000 0.5000 0.0000  4 Cd 3.56, 4 Au 3.56
Ba 0.5000 0.0000 0.0000  4 Cd 3.56, 4 Au 3.56
Ba 0.5000 0.5000 0.5000  4 Cd 3.56, 4 Au 3.56
Cd 0.2500 0.2500 0.2500  4 Ba 3.56, 4 K 3.56
Cd 0.2500 0.7500 0.7500  4 Ba 3.56, 4 K 3.56
Cd 0.7500 0.2500 0.7500  4 Ba 3.56, 4 K 3.56
Cd 0.7500 0.7500 0.2500  4 Ba 3.56, 4 K 3.56
Au 0.2500 0.2500 0.7500  4 Ba 3.56, 4 K 3.56
Au 0.2500 0.7500 0.2500  4 Ba 3.56, 4 K 3.56
Au 0.7500 0.2500 0.2500  4 Ba 3.56, 4 K 3.56
Au 0.7500 0.7500 0.7500  4 K 3.56, 4 Ba 3.56

(3)
This record from Alexandria via LeMat-Bulk describes crystalline Ba2InO3F at its relaxed geometry. The functional is PBE-GGA.

Energy, eV/cell: -80.3
E_form (uncorrected), eV/atom: -2.40

Cell: 4.2909 4.3693 13.4526 Å, 90.00 90.00 90.00°
With the nearest neighbours (Å) after each atom.
Fractional coordinates of all 14 atoms:
Ba 0.0000 0.0000 0.1487  1 O 2.56
Ba 0.0000 0.0000 0.8513  1 O 2.56
Ba 0.5000 0.5000 0.3513  1 O 2.56
Ba 0.5000 0.5000 0.6487  1 O 2.56
In 0.0000 0.0000 0.5000  4 O 2.15-2.17, 2 F 2.18
In 0.5000 0.5000 0.0000  4 O 2.15-2.17, 2 F 2.18
O 0.0000 0.0000 0.3389  1 In 2.17
O 0.0000 0.0000 0.6611  1 In 2.17
O 0.0000 0.5000 0.0000  2 In 2.15
O 0.5000 0.0000 0.5000  2 In 2.15
O 0.5000 0.5000 0.1611  1 In 2.17
O 0.5000 0.5000 0.8389  1 In 2.17
F 0.0000 0.5000 0.5000  2 In 2.18
F 0.5000 0.0000 0.0000  2 In 2.18

(4)
This record from Alexandria via LeMat-Bulk describes crystalline RbI2N at its relaxed geometry. The functional is PBE-GGA.

Energy, eV/cell: -47.9
Offset from the most stable computed form, meV per atom: 10.6
E_form (uncorrected), eV/atom: 0.10

Cell: 4.3351 9.9869 13.4904 Å, 90.00 90.24 90.00°
With the nearest neighbours (Å) after each atom.
Fractional coordinates of all 16 atoms:
Rb 0.2489 0.1820 0.3962  2 N 3.12
Rb 0.2489 0.3180 0.8962  2 N 3.12
Rb 0.7511 0.6820 0.1038  2 N 3.12
Rb 0.7511 0.8180 0.6038  2 N 3.12
I 0.2489 0.5595 0.4088  1 N 1.91
I 0.2489 0.9405 0.9088  1 N 1.91
I 0.2526 0.0972 0.6687  1 I 3.60, 4 Rb 3.64-3.78
I 0.2526 0.4028 0.1687  1 I 3.60, 4 Rb 3.64-3.78
I 0.7474 0.5972 0.8313  1 I 3.60, 4 Rb 3.64-3.78
I 0.7474 0.9028 0.3313  1 I 3.60, 4 Rb 3.64-3.78
I 0.7511 0.0595 0.0912  1 N 1.91
I 0.7511 0.4405 0.5912  1 N 1.91
N 0.2506 0.6070 0.5462  1 I 1.91
N 0.2506 0.8930 0.0462  1 I 1.91
N 0.7494 0.1070 0.9538  1 I 1.91
N 0.7494 0.3930 0.4538  1 I 1.91

(5)
This record from Alexandria via LeMat-Bulk describes crystalline SrCa4Rh at its relaxed geometry. The functional is PBE-GGA.

Energy, eV/cell: -14.0
Offset from the most stable computed form, meV per atom: 698.6
Energy relative to the elements, eV/atom: 0.510

Cell: 6.7626 6.7626 6.7626 Å, 60.00 60.00 60.00°
With the nearest neighbours (Å) after each atom.
Fractional coordinates of all 6 atoms:
Sr 0.0000 0.0000 0.0000  12 Ca 3.97, 4 Rh 4.14
Ca 0.1287 0.6238 0.6238  6 Ca 3.35-3.41
Ca 0.6238 0.1287 0.6238  6 Ca 3.35-3.41
Ca 0.6238 0.6238 0.1287  6 Ca 3.35-3.41
Ca 0.6238 0.6238 0.6238  6 Ca 3.35-3.41
Rh 0.2500 0.2500 0.2500  12 Ca 3.96, 4 Sr 4.14

(6)
This record from Alexandria via LeMat-Bulk describes crystalline ZrPtW4 at its relaxed geometry. The functional is PBE-GGA.

Energy, eV/cell: -65.5
Energy relative to the elements, eV/atom: 0.155

Cell: 5.3176 5.3176 5.3176 Å, 60.00 60.00 60.00°
With the nearest neighbours (Å) after each atom.
Fractional coordinates of all 6 atoms:
Zr 0.0000 0.0000 0.0000  12 W 3.11, 4 Pt 3.26
Pt 0.2500 0.2500 0.2500  12 W 3.12, 4 Zr 3.26
W 0.1210 0.6263 0.6263  6 W 2.63-2.69
W 0.6263 0.1210 0.6263  6 W 2.63-2.69
W 0.6263 0.6263 0.1210  6 W 2.63-2.69
W 0.6263 0.6263 0.6263  6 W 2.63-2.69

Repeat the first record exactly.
This record from Alexandria via LeMat-Bulk describes crystalline Al2SiBAs at its relaxed geometry. The functional is PBE-GGA.

Energy, eV/cell: -21.9
Offset from the most stable computed form, meV per atom: 0.0
E_form (uncorrected), eV/atom: 0.47

Cell: 4.0952 4.0952 4.7158 Å, 90.00 90.00 90.00°
With the nearest neighbours (Å) after each atom.
Fractional coordinates of all 5 atoms:
Al 0.0000 0.5000 0.0000  2 B 2.05
Al 0.5000 0.0000 0.0000  2 B 2.05
Si 0.0000 0.0000 0.5000  4 As 2.90, 8 Al 3.12
B 0.5000 0.5000 0.0000  4 Al 2.05
As 0.5000 0.5000 0.5000  2 B 2.36